No. 1
Computed, not measured: a PBEsol-optimized structure of Mg2Ti3O8 at the meta-GGA SCAN level of DFT.

a b c (Å): 5.910 5.910 9.356
angles (deg): 90.00 90.00 120.00
Positions (direct):
1 Mg 0.333 0.667 0.000
2 Mg 0.333 0.667 0.393
3 Mg 0.667 0.333 0.500
4 Mg 0.667 0.333 0.893
5 Ti 0.163 0.326 0.672
6 Ti 0.163 0.837 0.672
7 Ti 0.326 0.163 0.172
8 Ti 0.674 0.837 0.672
9 Ti 0.837 0.163 0.172
10 Ti 0.837 0.674 0.172
11 O 0.000 0.000 0.064
12 O 0.000 0.000 0.564
13 O 0.038 0.519 0.550
14 O 0.164 0.327 0.271
15 O 0.164 0.836 0.271
16 O 0.327 0.164 0.771
17 O 0.333 0.667 0.785
18 O 0.481 0.519 0.550
19 O 0.481 0.962 0.550
20 O 0.519 0.038 0.050
21 O 0.519 0.481 0.050
22 O 0.667 0.333 0.285
23 O 0.673 0.836 0.271
24 O 0.836 0.164 0.771
25 O 0.836 0.673 0.771
26 O 0.962 0.481 0.050

Results
The size of the total moment comes out at 0.0 μB/cell. As for the total energy: -11.5242 eV/atom. The calculation puts the formation energy (no corrections) at -3225 meV per atom. The calculation puts the energy above the most stable polymorph in this dataset at 0.00 eV per formula unit.


No. 2
Computed, not measured: a PBEsol-optimized structure of Mg2Ti3O8 at the meta-GGA SCAN level of DFT.

a b c (Å): 5.952 5.952 4.926
angles (deg): 108.12 108.12 59.67
Positions (direct):
1 Mg 0.224 0.224 0.152
2 Mg 0.776 0.776 0.848
3 Ti 0.233 0.767 0.500
4 Ti 0.500 0.500 0.000
5 Ti 0.767 0.233 0.500
6 O 0.106 0.106 0.420
7 O 0.159 0.610 0.095
8 O 0.390 0.841 0.905
9 O 0.392 0.392 0.582
10 O 0.608 0.608 0.418
11 O 0.610 0.159 0.095
12 O 0.841 0.390 0.905
13 O 0.894 0.894 0.580

Results
The size of the total moment comes out at 0.0 μB/cell. As for the total energy: -11.5105 eV/atom. The calculation puts the formation energy (no corrections) at -3211 meV per atom. The calculation puts the energy above the most stable polymorph in this dataset at 0.18 eV per formula unit.


No. 3
Computed, not measured: a PBEsol-optimized structure of MgTi11O20 at the meta-GGA SCAN level of DFT.

a b c (Å): 10.585 10.585 5.227
angles (deg): 97.30 97.30 138.39
Positions (direct):
1 Mg 0.000 0.000 0.000
2 Ti 0.077 0.264 0.663
3 Ti 0.196 0.881 0.131
4 Ti 0.264 0.077 0.663
5 Ti 0.387 0.691 0.134
6 Ti 0.455 0.950 0.790
7 Ti 0.509 0.509 0.991
8 Ti 0.573 0.769 0.657
9 Ti 0.691 0.387 0.134
10 Ti 0.769 0.573 0.657
11 Ti 0.881 0.196 0.131
12 Ti 0.950 0.455 0.790
13 O 0.013 0.151 0.304
14 O 0.040 0.852 0.767
15 O 0.103 0.422 0.022
16 O 0.151 0.013 0.304
17 O 0.223 0.223 0.844
18 O 0.232 0.736 0.912
19 O 0.315 0.945 0.494
20 O 0.352 0.539 0.757
21 O 0.422 0.103 0.022
22 O 0.434 0.814 0.486
23 O 0.516 0.640 0.291
24 O 0.539 0.352 0.757
25 O 0.605 0.924 0.041
26 O 0.640 0.516 0.291
27 O 0.708 0.708 0.845
28 O 0.736 0.232 0.912
29 O 0.814 0.434 0.486
30 O 0.852 0.040 0.767
31 O 0.924 0.605 0.041
32 O 0.945 0.315 0.494

Results
The size of the total moment comes out at 0.0 μB/cell. As for the total energy: -12.7928 eV/atom. The calculation puts the formation energy (no corrections) at -3233 meV per atom. The calculation puts the energy above the most stable polymorph in this dataset at 0.23 eV per formula unit.


No. 4
Computed, not measured: a PBEsol-optimized structure of MgTi4O8 at the meta-GGA SCAN level of DFT.

a b c (Å): 7.349 7.349 9.524
angles (deg): 129.09 129.09 22.81
Positions (direct):
1 Mg 0.000 0.000 0.000
2 Ti 0.188 0.188 0.999
3 Ti 0.492 0.492 0.637
4 Ti 0.704 0.704 0.370
5 Ti 0.977 0.977 0.285
6 O 0.113 0.113 0.748
7 O 0.156 0.156 0.447
8 O 0.188 0.188 0.210
9 O 0.472 0.472 0.419
10 O 0.495 0.495 0.143
11 O 0.545 0.545 0.899
12 O 0.804 0.804 0.083
13 O 0.872 0.872 0.559

Results
The size of the total moment comes out at 1.4 μB/cell. As for the total energy: -12.2857 eV/atom. The calculation puts the formation energy (no corrections) at -3136 meV per atom.


No. 5
Computed, not measured: a PBEsol-optimized structure of MgTi5O10 at the meta-GGA SCAN level of DFT.

a b c (Å): 5.191 9.981 7.463
angles (deg): 90.00 109.23 90.00
Positions (direct):
1 Mg 0.042 0.250 0.153
2 Mg 0.958 0.750 0.847
3 Ti 0.044 0.061 0.821
4 Ti 0.044 0.439 0.821
5 Ti 0.453 0.750 0.346
6 Ti 0.455 0.564 0.682
7 Ti 0.455 0.936 0.682
8 Ti 0.545 0.064 0.318
9 Ti 0.545 0.436 0.318
10 Ti 0.547 0.250 0.654
11 Ti 0.956 0.561 0.179
12 Ti 0.956 0.939 0.179
13 O 0.089 0.750 0.146
14 O 0.185 0.612 0.773
15 O 0.185 0.888 0.773
16 O 0.218 0.068 0.096
17 O 0.218 0.432 0.096
18 O 0.282 0.568 0.407
19 O 0.282 0.932 0.407
20 O 0.327 0.119 0.727
21 O 0.327 0.381 0.727
22 O 0.417 0.250 0.372
23 O 0.583 0.750 0.628
24 O 0.673 0.619 0.273
25 O 0.673 0.881 0.273
26 O 0.718 0.068 0.593
27 O 0.718 0.432 0.593
28 O 0.782 0.568 0.904
29 O 0.782 0.932 0.904
30 O 0.815 0.112 0.227
31 O 0.815 0.388 0.227
32 O 0.911 0.250 0.854

Results
The size of the total moment comes out at 4.0 μB/cell. As for the total energy: -12.4790 eV/atom. The calculation puts the formation energy (no corrections) at -3264 meV per atom.


No. 6
Computed, not measured: a PBEsol-optimized structure of Y2MgTiO6 at the meta-GGA SCAN level of DFT.

a b c (Å): 5.270 5.579 9.223
angles (deg): 90.00 124.52 90.00
Positions (direct):
1 Y 0.229 0.068 0.248
2 Y 0.229 0.432 0.748
3 Y 0.771 0.568 0.252
4 Y 0.771 0.932 0.752
5 Mg 0.000 0.000 0.500
6 Mg 0.000 0.500 0.000
7 Ti 0.500 0.000 0.000
8 Ti 0.500 0.500 0.500
9 O 0.144 0.188 0.944
10 O 0.144 0.312 0.444
11 O 0.252 0.704 0.937
12 O 0.252 0.796 0.437
13 O 0.372 0.044 0.757
14 O 0.372 0.456 0.257
15 O 0.628 0.544 0.743
16 O 0.628 0.956 0.243
17 O 0.748 0.204 0.563
18 O 0.748 0.296 0.063
19 O 0.856 0.688 0.556
20 O 0.856 0.812 0.056

Results
The size of the total moment comes out at 0.0 μB/cell. As for the total energy: -15.0413 eV/atom. The calculation puts the formation energy (no corrections) at -3634 meV per atom.


No. 7
Computed, not measured: a PBEsol-optimized structure of Mg2V2O7 at the meta-GGA SCAN level of DFT.

a b c (Å): 4.943 5.420 10.571
angles (deg): 101.17 102.40 98.53
Positions (direct):
1 Mg 0.013 0.289 0.084
2 Mg 0.075 0.288 0.584
3 Mg 0.925 0.712 0.416
4 Mg 0.987 0.711 0.916
5 V 0.355 0.295 0.865
6 V 0.465 0.149 0.360
7 V 0.535 0.851 0.640
8 V 0.645 0.705 0.135
9 O 0.129 0.461 0.786
10 O 0.191 0.078 0.933
11 O 0.213 0.053 0.439
12 O 0.263 0.615 0.540
13 O 0.293 0.578 0.043
14 O 0.318 0.260 0.234
15 O 0.397 0.122 0.711
16 O 0.603 0.878 0.289
17 O 0.682 0.740 0.766
18 O 0.707 0.422 0.957
19 O 0.737 0.385 0.460
20 O 0.787 0.947 0.561
21 O 0.809 0.922 0.067
22 O 0.871 0.539 0.214

Results
The size of the total moment comes out at 0.0 μB/cell. As for the total energy: -10.8449 eV/atom. The calculation puts the formation energy (no corrections) at -2796 meV per atom.


No. 8
Computed, not measured: a PBEsol-optimized structure of Mg8V5O16 at the meta-GGA SCAN level of DFT.

a b c (Å): 5.971 5.971 10.053
angles (deg): 106.64 106.64 59.04
Positions (direct):
1 Mg 0.000 0.000 0.000
2 Mg 0.001 0.496 0.999
3 Mg 0.183 0.183 0.575
4 Mg 0.249 0.249 0.255
5 Mg 0.496 0.001 0.999
6 Mg 0.501 0.501 0.003
7 Mg 0.753 0.753 0.748
8 Mg 0.804 0.804 0.425
9 V 0.236 0.768 0.255
10 V 0.240 0.747 0.744
11 V 0.494 0.494 0.507
12 V 0.747 0.240 0.744
13 V 0.768 0.236 0.255
14 O 0.115 0.115 0.870
15 O 0.120 0.120 0.368
16 O 0.125 0.640 0.876
17 O 0.158 0.617 0.376
18 O 0.358 0.878 0.127
19 O 0.377 0.377 0.128
20 O 0.383 0.383 0.632
21 O 0.386 0.839 0.630
22 O 0.601 0.601 0.368
23 O 0.617 0.158 0.376
24 O 0.623 0.623 0.875
25 O 0.640 0.125 0.876
26 O 0.839 0.386 0.630
27 O 0.878 0.358 0.127
28 O 0.881 0.881 0.128
29 O 0.881 0.881 0.635

Results
The size of the total moment comes out at 9.0 μB/cell. As for the total energy: -10.6525 eV/atom. The calculation puts the formation energy (no corrections) at -2827 meV per atom.


No. 9
Computed, not measured: a PBEsol-optimized structure of Mg2V3O8 at the meta-GGA SCAN level of DFT.

a b c (Å): 5.984 5.984 4.765
angles (deg): 109.12 109.12 56.70
Positions (direct):
1 Mg 0.234 0.234 0.166
2 Mg 0.766 0.766 0.834
3 V 0.211 0.789 0.500
4 V 0.500 0.500 0.000
5 V 0.789 0.211 0.500
6 O 0.115 0.115 0.418
7 O 0.155 0.616 0.100
8 O 0.384 0.845 0.900
9 O 0.397 0.397 0.591
10 O 0.603 0.603 0.409
11 O 0.616 0.155 0.100
12 O 0.845 0.384 0.900
13 O 0.885 0.885 0.582

Results
The size of the total moment comes out at 1.0 μB/cell. As for the total energy: -11.3878 eV/atom. The calculation puts the formation energy (no corrections) at -2752 meV per atom. The calculation puts the energy above the most stable polymorph in this dataset at 0.04 eV per formula unit.


No. 10
Computed, not measured: a PBEsol-optimized structure of Mg2V3O8 at the meta-GGA SCAN level of DFT.

a b c (Å): 5.693 5.693 9.530
angles (deg): 90.00 90.00 120.00
Positions (direct):
1 Mg 0.333 0.667 0.000
2 Mg 0.333 0.667 0.419
3 Mg 0.667 0.333 0.500
4 Mg 0.667 0.333 0.919
5 V 0.155 0.311 0.688
6 V 0.155 0.845 0.688
7 V 0.311 0.155 0.188
8 V 0.689 0.845 0.688
9 V 0.845 0.155 0.188
10 V 0.845 0.689 0.188
11 O 0.000 0.000 0.067
12 O 0.000 0.000 0.567
13 O 0.033 0.516 0.574
14 O 0.163 0.325 0.294
15 O 0.163 0.837 0.294
16 O 0.325 0.163 0.794
17 O 0.333 0.667 0.794
18 O 0.484 0.516 0.574
19 O 0.484 0.967 0.574
20 O 0.516 0.033 0.074
21 O 0.516 0.484 0.074
22 O 0.667 0.333 0.294
23 O 0.675 0.837 0.294
24 O 0.837 0.163 0.794
25 O 0.837 0.675 0.794
26 O 0.967 0.484 0.074

Results
The size of the total moment comes out at 6.0 μB/cell. As for the total energy: -11.3907 eV/atom. The calculation puts the formation energy (no corrections) at -2755 meV per atom. The calculation puts the energy above the most stable polymorph in this dataset at 0.00 eV per formula unit.


No. 11
Computed, not measured: a PBEsol-optimized structure of Mg3V2O8 at the meta-GGA SCAN level of DFT.

a b c (Å): 6.470 6.470 8.302
angles (deg): 90.00 90.00 124.26
Positions (direct):
1 Mg 0.000 0.000 0.000
2 Mg 0.114 0.386 0.250
3 Mg 0.386 0.114 0.750
4 Mg 0.500 0.500 0.500
5 Mg 0.614 0.886 0.250
6 Mg 0.886 0.614 0.750
7 V 0.120 0.880 0.380
8 V 0.380 0.620 0.880
9 V 0.620 0.380 0.120
10 V 0.880 0.120 0.620
11 O 0.003 0.997 0.754
12 O 0.111 0.346 0.501
13 O 0.154 0.389 0.999
14 O 0.248 0.752 0.274
15 O 0.252 0.748 0.774
16 O 0.346 0.111 0.499
17 O 0.389 0.154 0.001
18 O 0.497 0.503 0.254
19 O 0.503 0.497 0.746
20 O 0.611 0.846 0.999
21 O 0.654 0.889 0.501
22 O 0.748 0.252 0.226
23 O 0.752 0.248 0.726
24 O 0.846 0.611 0.001
25 O 0.889 0.654 0.499
26 O 0.997 0.003 0.246

Results
The size of the total moment comes out at 0.0 μB/cell. As for the total energy: -10.5394 eV/atom. The calculation puts the formation energy (no corrections) at -2867 meV per atom. The calculation puts the energy above the most stable polymorph in this dataset at 0.00 eV per formula unit.


No. 12
Computed, not measured: a PBEsol-optimized structure of Mg3V2O7 at the meta-GGA SCAN level of DFT.

a b c (Å): 9.111 9.111 5.260
angles (deg): 90.00 90.00 32.18
Positions (direct):
1 Mg 0.045 0.569 0.367
2 Mg 0.237 0.763 0.500
3 Mg 0.431 0.955 0.367
4 Mg 0.569 0.045 0.867
5 Mg 0.763 0.237 0.000
6 Mg 0.955 0.431 0.867
7 V 0.148 0.643 0.931
8 V 0.357 0.852 0.931
9 V 0.643 0.148 0.431
10 V 0.852 0.357 0.431
11 O 0.011 0.146 0.756
12 O 0.070 0.341 0.489
13 O 0.146 0.011 0.256
14 O 0.310 0.432 0.636
15 O 0.341 0.070 0.989
16 O 0.365 0.635 0.897
17 O 0.432 0.310 0.136
18 O 0.568 0.690 0.636
19 O 0.635 0.365 0.397
20 O 0.659 0.930 0.489
21 O 0.690 0.568 0.136
22 O 0.854 0.989 0.756
23 O 0.930 0.659 0.989
24 O 0.989 0.854 0.256

Results
The size of the total moment comes out at 4.0 μB/cell. As for the total energy: -10.5885 eV/atom. The calculation puts the formation energy (no corrections) at -2796 meV per atom.


No. 13
Computed, not measured: a PBEsol-optimized structure of Mg2VO4 at the meta-GGA SCAN level of DFT.

a b c (Å): 5.894 5.894 5.894
angles (deg): 60.00 60.00 60.00
Positions (direct):
1 Mg 0.000 0.000 0.000
2 Mg 0.000 0.000 0.500
3 Mg 0.000 0.500 0.000
4 Mg 0.500 0.000 0.000
5 V 0.375 0.375 0.375
6 V 0.625 0.625 0.625
7 O 0.248 0.751 0.751
8 O 0.249 0.249 0.249
9 O 0.249 0.249 0.752
10 O 0.249 0.752 0.249
11 O 0.751 0.248 0.751
12 O 0.751 0.751 0.248
13 O 0.751 0.751 0.751
14 O 0.752 0.249 0.249

Results
The size of the total moment comes out at 2.0 μB/cell. As for the total energy: -10.3161 eV/atom. The calculation puts the formation energy (no corrections) at -2836 meV per atom.